Entry from Alexandria via LeMat-Bulk: an optimized crystal structure of Ag2Bi2S3Cl2 (PBE-GGA).

abc: 4.8312 4.8312 9.7528
angles: 104.34 104.34 90.00
With the nearest neighbours (Å) after each atom.
Atoms (fractional coordinates):
Ag  0.5000  0.0000  0.0000  2 S 2.42
Ag  0.0000  0.5000  0.0000  2 S 2.42
Bi  0.1736  0.1736  0.3472  4 S 2.79
Bi  0.8264  0.8264  0.6528  4 S 2.79
S  0.0000  0.0000  0.0000  4 Ag 2.42
S  0.2500  0.7500  0.5000  4 Bi 2.79
S  0.7500  0.2500  0.5000  4 Bi 2.79
Cl  0.6131  0.6131  0.2261  4 Ag 3.18, 4 S 3.48
Cl  0.3869  0.3869  0.7739  4 Ag 3.18, 4 S 3.48

## Properties
Magnetic moment in μB per atom: 0.00
Raw formation energy in eV per formula unit: -2.79
SG: I4/mmm (139)
Energy above the lowest structure with this stoichiometry in kJ/mol of atoms: 13.3